1.
VASP calculation (PBE-GGA) on a geometry-optimized AsRhCl2 structure.

Calculated values
Energy relative to the elements, uncorrected = -1.53 eV/f.u.
Total moment = 0.00 μB/f.u.
E_tot = -17.22 eV/cell
Space-group type = No. 6
ΔE to the lowest computed polymorph = 217.6 meV per atom
D(E_F) = 0.10 states/eV per cell
V = 21.7 A^3/atom

Cell lengths 3.5385, 5.4988, 5.9702 Å; angles 48.32, 90.00, 90.00 degrees
With the nearest neighbours (Å) after each atom.
Sites, in units of the cell vectors:
Cl (0.5000, 0.2733, 0.3354)  1 As 2.37
Cl (0.0000, 0.9817, 0.9845)  2 Rh 2.38-2.44
Rh (0.0000, 0.5483, 0.5147)  2 As 2.36, 2 Cl 2.38-2.44
As (0.5000, 0.6967, 0.6653)  2 Rh 2.36, 1 Cl 2.37

---

2.
VASP calculation (PBE-GGA) on a geometry-optimized Tb3CeDy2 structure.

Calculated values
Total moment = 1.06 μB/f.u.
E_tot = -57.43 eV/cell
Space-group type = No. 65
Formation energy = 0.05 eV/atom
D(E_F) = 21.19 states/eV per cell
V = 31.6 A^3/atom

Cell lengths 5.0275, 10.0343, 9.3829 Å; angles 122.32, 105.54, 90.00 degrees
With the nearest neighbours (Å) after each atom.
Sites, in units of the cell vectors:
Tb (0.5000, 0.2500, 0.0000)  4 Tb 3.53, 4 Dy 3.55, 4 Ce 3.55
Dy (0.6664, 0.1666, 0.3332)  8 Tb 3.55-3.57, 2 Ce 3.55, 2 Dy 3.55
Tb (0.8355, 0.5855, 0.6710)  2 Ce 3.52, 4 Tb 3.53-3.60, 6 Dy 3.55-3.57
Tb (0.8355, 0.0855, 0.6710)  2 Ce 3.52, 4 Tb 3.53-3.60, 6 Dy 3.55-3.57
Ce (0.0000, 0.5000, 0.0000)  8 Tb 3.52-3.55, 4 Dy 3.55
Tb (0.1645, 0.4145, 0.3290)  2 Ce 3.52, 4 Tb 3.53-3.60, 6 Dy 3.55-3.57
Tb (0.1645, 0.9145, 0.3290)  2 Ce 3.52, 4 Tb 3.53-3.60, 6 Dy 3.55-3.57
Dy (0.3333, 0.3334, 0.6668)  8 Tb 3.55-3.57, 2 Ce 3.55, 2 Dy 3.55
Ce (0.0000, 0.0000, 0.0000)  8 Tb 3.52-3.55, 4 Dy 3.55
Dy (0.3336, 0.8334, 0.6668)  8 Tb 3.55-3.57, 2 Ce 3.55, 2 Dy 3.55
Dy (0.6667, 0.6666, 0.3332)  8 Tb 3.55-3.57, 2 Ce 3.55, 2 Dy 3.55
Tb (0.5000, 0.7500, 0.0000)  4 Tb 3.53, 4 Dy 3.55, 4 Ce 3.55